# 1
First-principles (PBE) data for Ca4GePb3 after structural relaxation, as listed in Alexandria via LeMat-Bulk.

- E_tot: -3.484 eV/atom
- ΔE_f: -515 meV per atom
- Density of states at the Fermi level: 4.50 states/eV/f.u.

Cell lengths 3.561, 3.561, 18.058 Å; angles 90.00, 90.00, 90.00 degrees
Space group P4/mmm (No. 123)
Symmetry-distinct sites (fractional):
Ca 0.000 0.000 0.107 (multiplicity 2)
Ca 0.000 0.000 0.371 (multiplicity 2)
Ge 0.500 0.500 0.000 (multiplicity 1)
Pb 0.500 0.500 0.242 (multiplicity 2)
Pb 0.500 0.500 0.500 (multiplicity 1)

# 2
First-principles (PBE) data for Ca2GePb after structural relaxation, as listed in Alexandria via LeMat-Bulk.

- E_tot: -3.566 eV/atom
- ΔE_f: -484 meV per atom
- Energy relative to the lowest polymorph listed for this composition: 65 meV per atom
- Density of states at the Fermi level: 2.65 states/eV/f.u.

Cell lengths 3.861, 3.861, 7.395 Å; angles 90.00, 90.00, 90.00 degrees
Space group P4/mmm (No. 123)
Symmetry-distinct sites (fractional):
Ca 0.000 0.000 0.226 (multiplicity 2)
Ge 0.500 0.500 0.000 (multiplicity 1)
Pb 0.500 0.500 0.500 (multiplicity 1)

Q: Among the records above, which one has the highest density of states at the Fermi level?
A: Ca4GePb3

Q: E_tot of number 2 (Ca2GePb)?
A: -3.566 eV/atom

Q: Which value of E_tot does entry 1 give?
A: -3.484 eV/atom